# 1
Here is crystalline SrBPb3 at its relaxed geometry from the Alexandria database. Energies are from PBE.

```
data_SrBPb3
_chemical_formula_sum 'Sr1 B1 Pb3'
_symmetry_space_group_name_H-M 'P m -3 m'
_symmetry_Int_Tables_number 221
_symmetry_space_group_name_Hall '-P 4 2 3'
_cell_length_a 5.254
_cell_length_b 5.254
_cell_length_c 5.254
_cell_angle_alpha 90.00
_cell_angle_beta 90.00
_cell_angle_gamma 90.00
loop_
_atom_site_label
_atom_site_type_symbol
_atom_site_fract_x
_atom_site_fract_y
_atom_site_fract_z
Sr1 Sr 0.000 0.000 0.000
B1 B 0.500 0.500 0.500
Pb1 Pb 0.000 0.500 0.500
```

distance to the lowest polymorph of the same formula	0	meV/atom

---

# 2
Here is crystalline SrB2Pb at its relaxed geometry from the Alexandria database. Energies are from PBE.

```
data_SrB2Pb
_chemical_formula_sum 'Sr4 B8 Pb4'
_symmetry_space_group_name_H-M 'I 41/a m d'
_symmetry_Int_Tables_number 141
_cell_length_a 4.588
_cell_length_b 4.588
_cell_length_c 16.705
_cell_angle_alpha 90.00
_cell_angle_beta 90.00
_cell_angle_gamma 90.00
loop_
_symmetry_equiv_pos_as_xyz
'x,y,z'
'-x,-y,-z'
'-y+1/4,x+3/4,z+1/4'
'y+1/4,-x+3/4,-z+1/4'
'-x+1/2,-y,z+1/2'
'x+1/2,y,-z+1/2'
'y+1/4,-x+1/4,z+3/4'
'-y+1/4,x+1/4,-z+3/4'
'x,-y,-z'
'-x,y,z'
'-y+1/4,-x+1/4,-z+3/4'
'y+1/4,x+1/4,z+3/4'
'-x+1/2,y,-z+1/2'
'x+1/2,-y,z+1/2'
'y+1/4,x+3/4,-z+1/4'
'-y+1/4,-x+3/4,z+1/4'
'x+1/2,y+1/2,z+1/2'
'-x+1/2,-y+1/2,-z+1/2'
'-y+3/4,x+1/4,z+3/4'
'y+3/4,-x+1/4,-z+3/4'
'-x,-y+1/2,z'
'x,y+1/2,-z'
'y+3/4,-x+3/4,z+1/4'
'-y+3/4,x+3/4,-z+1/4'
'x+1/2,-y+1/2,-z+1/2'
'-x+1/2,y+1/2,z+1/2'
'-y+3/4,-x+3/4,-z+1/4'
'y+3/4,x+3/4,z+1/4'
'-x,y+1/2,-z'
'x,-y+1/2,z'
'y+3/4,x+1/4,-z+3/4'
'-y+3/4,-x+1/4,z+3/4'
loop_
_atom_site_label
_atom_site_type_symbol
_atom_site_fract_x
_atom_site_fract_y
_atom_site_fract_z
Sr1 Sr 0.000 0.250 0.375
B1 B 0.000 0.000 0.000
Pb1 Pb 0.000 0.250 0.875
```

VASP energy	-3.681	eV/atom

---

# 3
Here is crystalline Sr2BPb at its relaxed geometry from the Alexandria database. Energies are from PBE.

```
data_Sr2BPb
_chemical_formula_sum 'Sr8 B4 Pb4'
_symmetry_space_group_name_H-M 'F m -3 m'
_symmetry_Int_Tables_number 225
_symmetry_space_group_name_Hall '-F 4 2 3'
_cell_length_a 7.772
_cell_length_b 7.772
_cell_length_c 7.772
_cell_angle_alpha 90.00
_cell_angle_beta 90.00
_cell_angle_gamma 90.00
loop_
_atom_site_label
_atom_site_type_symbol
_atom_site_fract_x
_atom_site_fract_y
_atom_site_fract_z
Sr1 Sr 0.250 0.250 0.250
B1 B 0.000 0.000 0.000
Pb1 Pb 0.000 0.000 0.500
```

distance to the lowest polymorph of the same formula	0	meV/atom

---

# 4
Here is crystalline Sr2BPb at its relaxed geometry from the Alexandria database. Energies are from PBE.

```
data_Sr2BPb
_chemical_formula_sum 'Sr8 B4 Pb4'
_symmetry_space_group_name_H-M 'I -4 2 d'
_symmetry_Int_Tables_number 122
_symmetry_space_group_name_Hall 'I -4 2bw'
_cell_length_a 8.514
_cell_length_b 8.514
_cell_length_c 7.082
_cell_angle_alpha 90.00
_cell_angle_beta 90.00
_cell_angle_gamma 90.00
loop_
_atom_site_label
_atom_site_type_symbol
_atom_site_fract_x
_atom_site_fract_y
_atom_site_fract_z
Sr1 Sr 0.185 0.250 0.125
B1 B 0.000 0.000 0.000
Pb1 Pb 0.000 0.000 0.500
```

distance to the lowest polymorph of the same formula	132	meV/atom

---

# 5
Here is crystalline SrBPb3 at its relaxed geometry from the Alexandria database. Energies are from PBE.

```
data_SrBPb3
_chemical_formula_sum 'Sr1 B1 Pb3'
_symmetry_space_group_name_H-M 'P m -3 m'
_symmetry_Int_Tables_number 221
_symmetry_space_group_name_Hall '-P 4 2 3'
_cell_length_a 6.132
_cell_length_b 6.132
_cell_length_c 6.132
_cell_angle_alpha 90.00
_cell_angle_beta 90.00
_cell_angle_gamma 90.00
loop_
_atom_site_label
_atom_site_type_symbol
_atom_site_fract_x
_atom_site_fract_y
_atom_site_fract_z
Sr1 Sr 0.000 0.000 0.000
B1 B 0.500 0.500 0.500
Pb1 Pb 0.000 0.000 0.500
```

distance to the lowest polymorph of the same formula	1342	meV/atom

---

# 6
Here is crystalline SrB3Pb at its relaxed geometry from the Alexandria database. Energies are from PBE.

```
data_SrB3Pb
_chemical_formula_sum 'Sr1 B3 Pb1'
_symmetry_space_group_name_H-M 'P m -3 m'
_symmetry_Int_Tables_number 221
_symmetry_space_group_name_Hall '-P 4 2 3'
_cell_length_a 4.977
_cell_length_b 4.977
_cell_length_c 4.977
_cell_angle_alpha 90.00
_cell_angle_beta 90.00
_cell_angle_gamma 90.00
loop_
_atom_site_label
_atom_site_type_symbol
_atom_site_fract_x
_atom_site_fract_y
_atom_site_fract_z
Sr1 Sr 0.000 0.000 0.000
B1 B 0.000 0.000 0.500
Pb1 Pb 0.500 0.500 0.500
```

distance to the lowest polymorph of the same formula	695	meV/atom

---

| no. | DOS at the Fermi energy (states/eV per cell) |
| --- | --- |
| 1 | 3.66 |
| 2 | 9.29 |
| 3 | 13.00 |
| 4 | 10.31 |
| 5 | 5.88 |
| 6 | 3.99 |